DFT (GGA+U) results for crystalline Tl3CrI2O9 at its relaxed geometry.

As for the total energy: -4.68 eV/atom. The total moment is 3.27 μB/f.u. Its volume is 212 Å³ per cell.

The structure belongs to space group P-3m1 (No. 164); the cell edges are 5.8482, 5.8482 and 7.1481 Å and the angles 90.00°, 90.00° and 120.00°. The distinct sites, in fractional coordinates, are Tl at (0.0000, 0.0000, 0.0000), Tl at (0.3333, 0.6667, 0.6769), Cr at (0.0000, 0.0000, 0.5000), I at (0.3333, 0.6667, 0.1833), O at (0.0000, 0.5000, 0.0000) and O at (0.1734, 0.3468, 0.3344).